# Hf2ZnS PBE relaxed
# N(E_F) = 2.4 states/eV/f.u.
# polymorph energy (0 for the lowest one) = 0.00 kcal/mol of atoms
# VASP energy = -6.9559 eV per atom
data_Hf2ZnS
_cell_length_a 3.4818
_cell_length_b 3.4818
_cell_length_c 21.4351
_cell_angle_alpha 90.00
_cell_angle_beta 90.00
_cell_angle_gamma 120.00
_space_group_name_H-M_alt 'R 3 m'
_space_group_IT_number 160
_space_group_name_Hall 'R 3 -2"'
loop_
_atom_site_label
_atom_site_fract_x
_atom_site_fract_y
_atom_site_fract_z
Hf1 0.0000 0.0000 0.0000
Hf2 0.0000 0.0000 0.1937
Zn1 0.0000 0.0000 0.4292
S1 0.0000 0.0000 0.5972

=====

# CrSnSe2 PBE relaxed
# N(E_F) = 4.4 states/eV/f.u.
# VASP energy = -5.2216 eV per atom
data_CrSnSe2
_cell_length_a 7.6539
_cell_length_b 3.3712
_cell_length_c 12.8581
_cell_angle_alpha 90.00
_cell_angle_beta 90.00
_cell_angle_gamma 90.00
_space_group_name_H-M_alt 'P n m a'
_space_group_IT_number 62
_space_group_name_Hall '-P 2ac 2n'
loop_
_atom_site_label
_atom_site_fract_x
_atom_site_fract_y
_atom_site_fract_z
Cr1 0.2135 0.2500 0.0678
Sn1 0.0177 0.7500 0.3982
Se1 0.1302 0.7500 0.9361
Se2 0.1898 0.7500 0.2075

=====

# Ba2LaCeAs4 PBE relaxed
# N(E_F) = 10.3 states/eV/f.u.
# formation enthalpy at 0 K = -1209.2 meV per atom
# VASP energy = -5.3723 eV per atom
data_Ba2LaCeAs4
_cell_length_a 7.7626
_cell_length_b 4.4735
_cell_length_c 7.9204
_cell_angle_alpha 90.00
_cell_angle_beta 109.03
_cell_angle_gamma 90.00
_space_group_name_H-M_alt 'P 1 2/m 1'
_space_group_IT_number 10
_space_group_name_Hall '-P 2y'
loop_
_atom_site_label
_atom_site_fract_x
_atom_site_fract_y
_atom_site_fract_z
Ba1 0.0000 0.0000 0.0000
Ba2 0.5000 0.5000 0.0000
La1 0.0000 0.5000 0.5000
Ce1 0.5000 0.0000 0.5000
As1 0.2478 0.0000 0.7137
As2 0.2732 0.5000 0.2912

=====

# BaNaCa2S PBE relaxed
# N(E_F) = 4.8 states/eV/f.u.
# VASP energy = -2.9846 eV per atom
data_BaNaCa2S
_cell_length_a 5.5215
_cell_length_b 5.5215
_cell_length_c 6.4720
_cell_angle_alpha 90.00
_cell_angle_beta 90.00
_cell_angle_gamma 90.00
_space_group_name_H-M_alt 'P 4/m m m'
_space_group_IT_number 123
_space_group_name_Hall '-P 4 2'
loop_
_atom_site_label
_atom_site_fract_x
_atom_site_fract_y
_atom_site_fract_z
Ba1 0.0000 0.0000 0.0000
Na1 0.5000 0.5000 0.0000
Ca1 0.0000 0.5000 0.5000
S1 0.0000 0.0000 0.5000

=====

# Ac5Pr4Hg4 PBE relaxed
# N(E_F) = 13.3 states/eV/f.u.
# formation enthalpy at 0 K = -287.7 meV per atom
# VASP energy = -3.4313 eV per atom
data_Ac5Pr4Hg4
_cell_length_a 13.1327
_cell_length_b 13.1327
_cell_length_c 5.3543
_cell_angle_alpha 90.00
_cell_angle_beta 90.00
_cell_angle_gamma 90.00
_space_group_name_H-M_alt 'I 4/m'
_space_group_IT_number 87
_space_group_name_Hall '-I 4'
loop_
_atom_site_label
_atom_site_fract_x
_atom_site_fract_y
_atom_site_fract_z
Ac1 0.0000 0.0000 0.0000
Ac2 0.1258 0.1923 0.5000
Pr1 0.0962 0.4016 0.0000
Hg1 0.0824 0.7576 0.0000

=====

# Pm2Ga4Ir5 PBE relaxed
# N(E_F) = 5.6 states/eV/f.u.
# formation enthalpy at 0 K = -628.2 meV per atom
# VASP energy = -6.6204 eV per atom
data_Pm2Ga4Ir5
_cell_length_a 5.7027
_cell_length_b 9.6068
_cell_length_c 15.0717
_cell_angle_alpha 90.00
_cell_angle_beta 90.00
_cell_angle_gamma 90.00
_space_group_name_H-M_alt 'F m m m'
_space_group_IT_number 69
_space_group_name_Hall '-F 2 2'
loop_
_atom_site_label
_atom_site_fract_x
_atom_site_fract_y
_atom_site_fract_z
Pm1 0.0000 0.0000 0.1216
Ga1 0.0000 0.1571 0.3693
Ir1 0.0000 0.0000 0.5000
Ir2 0.2500 0.2500 0.0000
Ir3 0.2500 0.2500 0.2500

=====

# KAl3W PBE relaxed
# N(E_F) = 8.4 states/eV/f.u.
# formation enthalpy at 0 K = 2594.8 meV per atom
# polymorph energy (0 for the lowest one) = 50.93 kcal/mol of atoms
# VASP energy = -2.4609 eV per atom
data_KAl3W
_cell_length_a 4.8465
_cell_length_b 4.8465
_cell_length_c 4.8465
_cell_angle_alpha 90.00
_cell_angle_beta 90.00
_cell_angle_gamma 90.00
_space_group_name_H-M_alt 'P m -3 m'
_space_group_IT_number 221
_space_group_name_Hall '-P 4 2 3'
loop_
_atom_site_label
_atom_site_fract_x
_atom_site_fract_y
_atom_site_fract_z
K1 0.0000 0.0000 0.0000
Al1 0.0000 0.0000 0.5000
W1 0.5000 0.5000 0.5000

=====

# Ca2Cu3Sn2 PBE relaxed
# N(E_F) = 2.5 states/eV/f.u.
# formation enthalpy at 0 K = -324.5 meV per atom
# VASP energy = -3.7956 eV per atom
data_Ca2Cu3Sn2
_cell_length_a 11.2393
_cell_length_b 4.3714
_cell_length_c 6.7717
_cell_angle_alpha 90.00
_cell_angle_beta 116.87
_cell_angle_gamma 90.00
_space_group_name_H-M_alt 'C 1 2/m 1'
_space_group_IT_number 12
_space_group_name_Hall '-C 2y'
loop_
_atom_site_label
_atom_site_fract_x
_atom_site_fract_y
_atom_site_fract_z
Ca1 0.1448 0.0000 0.2561
Cu1 0.0000 0.5000 0.5000
Cu2 0.0818 0.5000 0.9174
Sn1 0.1443 0.0000 0.7476

=====

# BPd3 PBE relaxed
# N(E_F) = 1.7 states/eV/f.u.
# formation enthalpy at 0 K = -93.5 meV per atom
# VASP energy = -5.6575 eV per atom
data_BPd3
_cell_length_a 9.3169
_cell_length_b 9.3169
_cell_length_c 4.7697
_cell_angle_alpha 90.00
_cell_angle_beta 90.00
_cell_angle_gamma 90.00
_space_group_name_H-M_alt 'I -4'
_space_group_IT_number 82
_space_group_name_Hall 'I -4'
loop_
_atom_site_label
_atom_site_fract_x
_atom_site_fract_y
_atom_site_fract_z
B1 0.9999 0.2170 0.2466
Pd1 0.0001 0.1405 0.7518
Pd2 0.0976 0.4020 0.5115
Pd3 0.1971 0.6983 0.4567

=====

# La3GaO PBE relaxed
# N(E_F) = 3.4 states/eV/f.u.
# VASP energy = -5.2698 eV per atom
data_La3GaO
_cell_length_a 3.6269
_cell_length_b 7.1868
_cell_length_c 14.8754
_cell_angle_alpha 90.00
_cell_angle_beta 90.00
_cell_angle_gamma 90.00
_space_group_name_H-M_alt 'A m m 2'
_space_group_IT_number 38
_space_group_name_Hall 'A 2 -2'
loop_
_atom_site_label
_atom_site_fract_x
_atom_site_fract_y
_atom_site_fract_z
La1 0.0000 0.0000 0.0000
La2 0.5000 0.2317 0.8164
Ga1 0.5000 0.0000 0.1617
O1 0.0000 0.0000 0.8228

=====

# PrY2Ho PBE relaxed
# N(E_F) = 7.2 states/eV/f.u.
# formation enthalpy at 0 K = 15.4 meV per atom
# polymorph energy (0 for the lowest one) = 0.00 kcal/mol of atoms
# VASP energy = -5.5560 eV per atom
data_PrY2Ho
_cell_length_a 3.6815
_cell_length_b 11.4936
_cell_length_c 6.3269
_cell_angle_alpha 90.00
_cell_angle_beta 90.00
_cell_angle_gamma 90.00
_space_group_name_H-M_alt 'I m m 2'
_space_group_IT_number 44
_space_group_name_Hall 'I 2 -2'
loop_
_atom_site_label
_atom_site_fract_x
_atom_site_fract_y
_atom_site_fract_z
Pr1 0.0000 0.0000 0.0000
Y1 0.0000 0.2473 0.6619
Ho1 0.0000 0.5000 0.9952

=====

# TbHoTmAl PBE relaxed
# N(E_F) = 4.9 states/eV/f.u.
# formation enthalpy at 0 K = -191.3 meV per atom
# polymorph energy (0 for the lowest one) = 0.00 kcal/mol of atoms
# VASP energy = -4.5469 eV per atom
data_TbHoTmAl
_cell_length_a 4.7262
_cell_length_b 4.7398
_cell_length_c 4.7418
_cell_angle_alpha 90.00
_cell_angle_beta 90.00
_cell_angle_gamma 90.00
_space_group_name_H-M_alt 'P m m m'
_space_group_IT_number 47
_space_group_name_Hall '-P 2 2'
loop_
_atom_site_label
_atom_site_fract_x
_atom_site_fract_y
_atom_site_fract_z
Tb1 0.0000 0.0000 0.0000
Ho1 0.0000 0.5000 0.5000
Tm1 0.5000 0.0000 0.5000
Al1 0.5000 0.5000 0.0000